Entry 1:
PBE LiFeCo, relaxed; DOS at the Fermi energy = 0.9 states/eV per cell; E above lowest polymorph = 0.0 kJ per mole of atoms; total magnetization = 4.01 μB per formula unit
1.0
4.058 0.000 0.000
-2.029 3.515 0.000
0.000 0.000 2.399
Co Li Fe
1 1 1
Cartesian
0.000 0.000 2.389 Co
0.000 2.343 1.614 Li
2.029 1.172 0.794 Fe

Entry 2:
PBE KPmAu2, relaxed; total DFT energy (no corrections) = -3.673 eV/atom; DOS at the Fermi energy = 2.1 states/eV per cell; total magnetization = 0.00 μB per formula unit
1.0
-0.102 3.782 -0.289
-3.793 -0.106 -0.051
-0.125 0.612 8.051
Au Pm K
2 1 1
Cartesian
-0.024 0.116 1.525 Au
-0.101 0.496 6.526 Au
-1.947 1.838 -0.170 Pm
-2.010 2.144 3.855 K

Entry 3:
PBE Pm6PrIn6, relaxed; total DFT energy (no corrections) = -4.177 eV/atom; DOS at the Fermi energy = 15.8 states/eV per cell; total magnetization = 1.90 μB per formula unit
1.0
6.363 0.000 0.000
-3.181 5.510 0.000
0.000 0.000 11.090
Pr Pm In
1 6 6
Cartesian
0.000 0.000 0.000 Pr
3.181 1.837 5.545 Pm
3.181 1.837 0.000 Pm
0.000 0.000 7.361 Pm
0.000 3.674 0.000 Pm
0.000 3.673 5.545 Pm
0.000 0.000 3.728 Pm
1.591 2.755 8.365 In
-1.590 2.755 2.725 In
-1.590 2.755 8.365 In
3.181 0.000 8.365 In
1.591 2.755 2.725 In
3.181 0.000 2.725 In